Entry 1:
{"formula": "ZrSc3", "functional": "PBE-GGA", "state": "optimized geometry", "spacegroup": "R-3m (166)", "lattice": [[5.1510, 2.9739, 1.0474], [-5.1510, 2.9739, 1.0474], [0.0000, -5.9479, 1.0474]], "species": ["Zr", "Sc", "Sc", "Sc"], "frac_coords": [[0.0000, 0.0000, 0.0000], [0.0000, 0.5000, 0.5000], [0.5000, 0.0000, 0.5000], [0.5000, 0.5000, 0.0000]]}



Entry 2:
{"formula": "Zr2Sc3", "functional": "PBE-GGA", "state": "optimized geometry", "spacegroup": "Fdd2 (43)", "lattice": [[0.0000, 7.6566, 2.9007], [5.3094, 0.0000, 2.9007], [5.3094, 7.6566, 0.0000]], "species": ["Zr", "Zr", "Zr", "Zr", "Sc", "Sc", "Sc", "Sc", "Sc", "Sc"], "frac_coords": [[0.2680, 0.7320, 0.3319], [0.5819, 0.9181, 0.5180], [0.7320, 0.2680, 0.6681], [0.9181, 0.5819, 0.9820], [0.1230, 0.8259, 0.0817], [0.1683, 0.2806, 0.1270], [0.2806, 0.1683, 0.4241], [0.4369, 0.4369, 0.5631], [0.6869, 0.6869, 0.8131], [0.8259, 0.1230, 0.9694]]}



Entry 3:
{"formula": "Zr2Sc3", "functional": "PBE-GGA", "state": "optimized geometry", "spacegroup": "C2/m (12)", "lattice": [[7.7268, -1.6036, 0.0000], [7.7268, 1.6036, 0.0000], [-3.3554, 0.0000, 9.6345]], "species": ["Zr", "Zr", "Zr", "Zr", "Sc", "Sc", "Sc", "Sc", "Sc", "Sc"], "frac_coords": [[0.0453, 0.0453, 0.1452], [0.3498, 0.3498, 0.0399], [0.6502, 0.6502, 0.9601], [0.9547, 0.9547, 0.8548], [0.0637, 0.0637, 0.6609], [0.2442, 0.2442, 0.2467], [0.3586, 0.3586, 0.5673], [0.6414, 0.6414, 0.4327], [0.7558, 0.7558, 0.7533], [0.9363, 0.9363, 0.3391]]}



Entry 4:
{"formula": "Zr3Sc", "functional": "PBE-GGA", "state": "optimized geometry", "spacegroup": "Pmmn (59)", "lattice": [[6.4431, 0.0000, 0.0000], [0.0000, 15.5546, 0.0000], [0.0000, 0.0000, 5.5834]], "species": ["Zr", "Zr", "Zr", "Zr", "Zr", "Zr", "Zr", "Zr", "Zr", "Zr", "Zr", "Zr", "Zr", "Zr", "Zr", "Zr", "Zr", "Zr", "Sc", "Sc", "Sc", "Sc", "Sc", "Sc"], "frac_coords": [[0.9999, 0.2500, 0.0012], [0.0001, 0.7500, 0.9988], [0.0019, 0.0827, 0.6648], [0.0019, 0.4173, 0.6648], [0.2500, 0.2500, 0.4970], [0.2500, 0.5825, 0.8333], [0.2500, 0.9175, 0.8333], [0.4981, 0.0827, 0.6648], [0.4981, 0.4173, 0.6648], [0.5001, 0.2500, 0.0012], [0.4999, 0.7500, 0.9988], [0.5019, 0.5827, 0.3352], [0.5019, 0.9173, 0.3352], [0.7500, 0.0825, 0.1667], [0.7500, 0.4175, 0.1667], [0.7500, 0.7500, 0.5030], [0.9981, 0.5827, 0.3352], [0.9981, 0.9173, 0.3352], [0.2500, 0.0831, 0.1679], [0.2500, 0.4169, 0.1679], [0.2500, 0.7500, 0.5014], [0.7500, 0.2500, 0.4986], [0.7500, 0.5831, 0.8321], [0.7500, 0.9169, 0.8321]]}



no.,energy of formation from the pure elements (meV/atom),raw total energy (eV per atom),relative energy among the computed polymorphs (kJ/mol of formula units)
1,126,-6.760,52.7
2,76,-7.142,29.3
3,16,-7.203,0.0
4,15,-7.979,17.2